# Sr3FeAg2O6 | the Alexandria database | PBE+U | optimized geometry
# **Final energy**: -64.34 eV per cell
data_Sr3FeAg2O6
_chemical_formula_sum 'Sr3 Fe1 Ag2 O6'
_cell_length_a 5.8247
_cell_length_b 5.8247
_cell_length_c 6.3858
_cell_angle_alpha 90.00
_cell_angle_beta 90.00
_cell_angle_gamma 120.00
_symmetry_space_group_name_H-M 'P -3 m 1'
_symmetry_Int_Tables_number 164
_symmetry_space_group_name_Hall '-P 3 2"'
loop_
_atom_site_label
_atom_site_fract_x
_atom_site_fract_y
_atom_site_fract_z
Sr1 0.0000 0.0000 0.0000
Sr2 0.3333 0.6667 0.6046
Fe1 0.0000 0.0000 0.5000
Ag1 0.3333 0.6667 0.1055
O1 0.1587 0.3174 0.3168